VASP calculation (GGA-PBE) on a geometry-optimized Cs4YPu3O12 structure.

Cell lengths 7.6046, 7.6046, 7.6046 Å; angles 109.47, 109.47, 109.47 degrees
Last column: magnetic moment on the atom in μB.
Positions (direct):
Cs 0.5000 0.5000 0.5000  0.00
Cs 0.0000 0.0000 0.5000  0.00
Cs 0.5000 0.0000 0.0000  0.00
Cs 0.0000 0.5000 0.0000  0.00
Y 0.0000 0.0000 0.0000  -0.02
Pu 0.5000 0.0000 0.5000  2.87
Pu 0.5000 0.5000 0.0000  2.87
Pu 0.0000 0.5000 0.5000  2.87
O 0.2500 0.5000 0.7500  -0.14
O 0.7311 0.0000 0.7311  -0.12
O 0.2689 0.0000 0.2689  -0.12
O 0.7500 0.5000 0.2500  -0.14
O 0.7311 0.7311 0.0000  -0.12
O 0.2689 0.2689 0.0000  -0.12
O 0.7500 0.2500 0.5000  -0.14
O 0.2500 0.7500 0.5000  -0.14
O 0.5000 0.2500 0.7500  -0.14
O 0.0000 0.7311 0.7311  -0.12
O 0.5000 0.7500 0.2500  -0.14
O 0.0000 0.2689 0.2689  -0.12

Results
The calculation puts the formation energy from raw total energies at -2.47 eV per atom. As for the final energy: -8.086 eV/atom. Its calculated density is 7.58 g cm⁻³.